NdSmHo3Th GGA-PBE relaxed; final energy = -60.9 eV/cell; total magnetization = 0.00 μB per formula unit
1.0
7.979 0.000 0.000
0.000 5.071 0.000
-3.197 0.000 9.624
Nd Sm Ho Th
2 2 6 2
direct
0.171 0.250 0.293
0.829 0.750 0.707
0.498 0.750 0.871
0.502 0.250 0.129
0.167 0.750 0.043
0.169 0.250 0.791
0.174 0.750 0.543
0.826 0.250 0.457
0.831 0.750 0.209
0.833 0.250 0.957
0.499 0.750 0.377
0.501 0.250 0.623

=====

SrCrRh3 GGA-PBE relaxed; final energy = -23.8 eV/cell; total magnetization = 3.20 μB per formula unit
1.0
4.906 0.000 0.000
0.000 4.906 0.000
0.000 0.000 4.906
Sr Cr Rh
1 1 3
direct
0.000 0.000 0.000
0.500 0.500 0.500
0.000 0.000 0.500
0.000 0.500 0.000
0.500 0.000 0.000

=====

Li4Mg3Zn4 GGA-PBE relaxed; final energy = -19.0 eV/cell; total magnetization = 0.00 μB per formula unit
1.0
2.323 -2.317 0.000
2.323 2.317 0.000
-2.237 0.000 17.281
Li Mg Zn
4 3 4
direct
0.088 0.088 0.176
0.274 0.274 0.545
0.726 0.726 0.455
0.912 0.912 0.824
0.000 0.000 0.000
0.362 0.362 0.720
0.638 0.638 0.280
0.186 0.186 0.375
0.449 0.449 0.898
0.551 0.551 0.102
0.814 0.814 0.625

=====

Dy2TlCl8 GGA-PBE relaxed; final energy = -46.1 eV/cell; total magnetization = 0.00 μB per formula unit; E_form (uncorrected) = -1794 meV/atom
1.0
5.459 -4.297 0.000
5.459 4.297 0.000
-1.410 0.000 6.992
Dy Tl Cl
2 1 8
direct
0.183 0.183 0.452
0.817 0.817 0.548
0.500 0.500 0.000
0.057 0.057 0.736
0.170 0.550 0.663
0.288 0.288 0.150
0.450 0.830 0.337
0.550 0.170 0.663
0.712 0.712 0.850
0.830 0.450 0.337
0.943 0.943 0.264